(1)
The following is a DFT calculation (GGA-PBE) of a geometry-optimized Rb2NaSn2Te4 structure.

Summary:
magnetic moment	0.00	μB/f.u.
total DFT energy (no corrections)	-3.288	eV per atom

Geometry as POSCAR:
```
Rb2NaSn2Te4
1.0
5.760 0.000 0.000
-2.880 7.885 0.567
0.000 -2.219 7.565
Te Rb Sn Na
4 2 2 1
direct
0.517 0.034 0.749 Te
0.801 0.602 0.839 Te
0.199 0.398 0.161 Te
0.483 0.966 0.251 Te
0.138 0.276 0.597 Rb
0.862 0.724 0.403 Rb
0.646 0.292 0.069 Sn
0.354 0.708 0.931 Sn
0.000 0.000 0.000 Na
```

---

(2)
The following is a DFT calculation (GGA-PBE) of a geometry-optimized RbNaSnTe2 structure.

Summary:
magnetic moment	0.00	μB/f.u.
total DFT energy (no corrections)	-3.157	eV per atom

Geometry as POSCAR:
```
RbNaSnTe2
1.0
-0.704 -0.441 -5.009
-5.333 -6.050 3.856
-7.013 7.753 0.302
Te Rb Na Sn
4 2 2 2
direct
0.646 0.292 0.327 Te
0.876 0.753 0.065 Te
0.124 0.247 0.935 Te
0.354 0.708 0.673 Te
0.322 0.643 0.326 Rb
0.678 0.357 0.674 Rb
0.692 0.384 0.058 Na
0.308 0.616 0.942 Na
0.064 0.129 0.197 Sn
0.936 0.871 0.803 Sn
```

---

(3)
The following is a DFT calculation (GGA-PBE) of a geometry-optimized RbNaTlSn structure.

Summary:
magnetic moment	0.00	μB/f.u.
total DFT energy (no corrections)	-2.240	eV per atom

Geometry as POSCAR:
```
RbNaTlSn
1.0
-2.848 -4.196 -2.602
2.759 -3.609 -3.442
0.806 -5.411 1.601
Sn Rb Tl Na
1 1 1 1
direct
0.750 0.750 0.750 Sn
0.250 0.250 0.250 Rb
0.000 0.000 0.000 Tl
0.500 0.500 0.500 Na
```

---

(4)
The following is a DFT calculation (GGA-PBE) of a geometry-optimized RbNa2TlSn structure.

Summary:
magnetic moment	0.00	μB/f.u.
total DFT energy (no corrections)	-2.040	eV per atom

Geometry as POSCAR:
```
RbNa2TlSn
1.0
-0.567 -2.905 5.248
2.088 -5.037 -2.563
5.587 1.567 1.471
Na Tl Sn Rb
2 1 1 1
direct
0.500 0.000 0.000 Na
0.000 0.500 0.000 Na
0.000 0.000 0.500 Tl
0.000 0.000 0.000 Sn
0.500 0.500 0.500 Rb
```